{"formula": "BaLaTaCr2", "functional": "PBE", "state": "relaxed", "lattice": [[4.756, 0.000, 0.000], [0.000, 5.743, 0.000], [0.000, 0.000, 4.756]], "species": ["Ba", "Ta", "Cr", "Cr", "La"], "frac_coords": [[0.000, 0.500, 0.000], [0.000, 0.000, 0.000], [0.000, 0.000, 0.500], [0.500, 0.000, 0.000], [0.500, 0.500, 0.500]], "dft_energy_ev_per_fu": -30.57, "dos_at_fermi_per_ev_atom": 2.117, "space_group": "No. 123"}